*one*
Below is an optimized crystal structure of BiTePt2, with properties calculated at the PBE-GGA level.

Output
For the magnetic moment, the calculation gives 0.000 μB per atom.

Unit cell a=5.1611 b=5.1611 c=8.6545 alpha=72.65 beta=72.65 gamma=90.00
Last column: nearest neighbours and their distance in Å.
Positions (direct):
Bi 0.0000 0.0000 0.0000  4 Pt 2.83
Bi 0.7500 0.2500 0.5000  4 Pt 2.83
Pt 0.1803 0.6250 0.2500  2 Te 2.55, 2 Bi 2.83
Pt 0.8750 0.8197 0.7500  2 Te 2.55, 2 Bi 2.83
Te 0.5000 0.5000 0.0000  4 Pt 2.55
Pt 0.5697 0.1250 0.2500  2 Te 2.55, 2 Bi 2.83
Te 0.2500 0.7500 0.5000  4 Pt 2.55
Pt 0.3750 0.4303 0.7500  2 Te 2.55, 2 Bi 2.83

*two*
Below is an optimized crystal structure of BiTePt2, with properties calculated at the PBE-GGA level.

Output
For the magnetic moment, the calculation gives 0.000 μB per atom.

Unit cell a=4.1718 b=4.1718 c=13.0940 alpha=90.00 beta=90.00 gamma=120.00
Last column: nearest neighbours and their distance in Å.
Positions (direct):
Bi 0.0000 0.0000 0.8456  6 Pt 2.76-2.93
Bi 0.0000 0.0000 0.1544  6 Pt 2.76-2.93
Te 0.6667 0.3333 0.3727  3 Pt 2.69
Te 0.3333 0.6667 0.6273  3 Pt 2.69
Pt 0.3333 0.6667 0.0510  4 Pt 2.75-3.02, 3 Bi 2.76
Pt 0.6667 0.3333 0.7187  3 Te 2.69, 3 Bi 2.93
Pt 0.6667 0.3333 0.9490  4 Pt 2.75-3.02, 3 Bi 2.76
Pt 0.3333 0.6667 0.2813  3 Te 2.69, 3 Bi 2.93

*three*
Below is an optimized crystal structure of BiTePt2, with properties calculated at the PBE-GGA level.

Output
For the magnetic moment, the calculation gives 0.000 μB per atom.

Unit cell a=4.9212 b=4.9212 c=4.9212 alpha=60.00 beta=60.00 gamma=60.00
Last column: nearest neighbours and their distance in Å.
Positions (direct):
Pt 0.2500 0.2500 0.2500  4 Bi 3.01, 4 Te 3.01
Te 0.0000 0.0000 0.0000  8 Pt 3.01
Pt 0.7500 0.7500 0.7500  4 Te 3.01, 4 Bi 3.01
Bi 0.5000 0.5000 0.5000  8 Pt 3.01

Which one sits at the bottom of the stability order? *three* does.

*one*
Below is an optimized crystal structure of Bi2Te2Pt3, with properties calculated at the PBE-GGA level.

Output
For the magnetic moment, the calculation gives 0.000 μB per atom.

Unit cell a=4.1339 b=7.0700 c=7.0797 alpha=105.04 beta=106.98 gamma=90.00
Last column: nearest neighbours and their distance in Å.
Positions (direct):
Te 0.8519 0.6689 0.7038  4 Pt 2.64-2.79
Bi 0.6327 0.8844 0.2654  5 Pt 2.78-2.99
Pt 0.7627 0.2640 0.5254  3 Te 2.70-2.79, 3 Bi 2.78-2.86
Pt 0.0000 0.0000 0.0000  2 Te 2.64
Pt 0.2373 0.7360 0.4746  3 Te 2.70-2.79, 3 Bi 2.78-2.86
Bi 0.3673 0.1156 0.7346  5 Pt 2.78-2.99
Te 0.1481 0.3311 0.2962  4 Pt 2.64-2.79

*two*
Below is an optimized crystal structure of Bi2Te2Pt3, with properties calculated at the PBE-GGA level.

Output
For the magnetic moment, the calculation gives 0.000 μB per atom.

Unit cell a=4.3512 b=7.1264 c=6.9356 alpha=120.24 beta=108.28 gamma=90.00
Last column: nearest neighbours and their distance in Å.
Positions (direct):
Bi 0.3655 0.7013 0.7310  5 Pt 2.85-2.92
Pt 0.7391 0.7655 0.4781  3 Te 2.71-2.78, 3 Bi 2.85-2.92, 1 Pt 2.92
Pt 0.0000 0.0000 0.0000  2 Te 2.78, 4 Bi 2.90, 2 Pt 2.92
Pt 0.2609 0.2345 0.5219  3 Te 2.71-2.78, 3 Bi 2.85-2.92, 1 Pt 2.92
Te 0.8812 0.2256 0.7624  4 Pt 2.71-2.78
Te 0.1188 0.7744 0.2376  4 Pt 2.71-2.78
Bi 0.6345 0.2987 0.2690  5 Pt 2.85-2.92

Which one sits at the bottom of the stability order? *one* does.

*one*
Below is an optimized crystal structure of Th7Bi2Pt2, with properties calculated at the PBE-GGA level.

Output
For the magnetic moment, the calculation gives 0.000 μB per atom.

Unit cell a=3.9807 b=9.9414 c=9.9414 alpha=60.96 beta=78.45 gamma=78.45
Last column: nearest neighbours and their distance in Å.
Positions (direct):
Th 0.8479 0.4226 0.8817  2 Pt 3.02, 2 Bi 3.33
Th 0.1521 0.1183 0.5774  2 Pt 3.02, 2 Bi 3.33
Th 0.3666 0.7344 0.5323  2 Pt 2.97
Pt 0.7348 0.8565 0.6738  6 Th 2.95-3.02
Bi 0.5000 0.3547 0.6453  7 Th 3.30-3.33
Th 0.8203 0.0752 0.2843  2 Pt 2.95
Th 0.1797 0.7157 0.9248  2 Pt 2.95
Th 0.5000 0.0275 0.9725  3 Bi 3.30-3.39
Bi 0.0000 0.7550 0.2450  8 Th 3.31-3.39
Th 0.6334 0.4677 0.2656  2 Pt 2.97
Pt 0.2652 0.3262 0.1435  6 Th 2.95-3.02

*two*
Below is an optimized crystal structure of Th7Bi2Pt2, with properties calculated at the PBE-GGA level.

Output
For the magnetic moment, the calculation gives 0.000 μB per atom.

Unit cell a=7.1879 b=7.0350 c=7.1879 alpha=90.02 beta=101.50 gamma=89.98
Last column: nearest neighbours and their distance in Å.
Positions (direct):
Th 0.0002 0.7403 0.4997  2 Pt 2.92
Th 0.4998 0.2481 0.5002  2 Pt 3.19, 2 Bi 3.41, 2 Th 3.49-3.54
Pt 0.2605 0.0000 0.7395  7 Th 2.90-3.19
Th 0.4997 0.2597 0.0002  2 Pt 2.92
Th 0.5003 0.7403 0.9998  2 Pt 2.92
Pt 0.7395 0.0000 0.2605  7 Th 2.90-3.19
Bi 0.8203 0.5000 0.8203  1 Bi 3.27, 6 Th 3.32-3.41
Th 0.0000 0.0000 0.0000  2 Pt 2.90
Th 0.5002 0.7519 0.4998  2 Pt 3.19, 2 Bi 3.41, 2 Th 3.49-3.54
Th 0.9998 0.2597 0.5003  2 Pt 2.92
Bi 0.1797 0.5000 0.1797  1 Bi 3.27, 6 Th 3.32-3.41

Which one sits at the bottom of the stability order? *two* does.

*one*
Below is an optimized crystal structure of TiBi3Pt, with properties calculated at the PBE-GGA level.

Output
For the magnetic moment, the calculation gives 0.000 μB per atom.

Unit cell a=5.2869 b=5.2869 c=5.2869 alpha=90.00 beta=90.00 gamma=90.00
Last column: nearest neighbours and their distance in Å.
Positions (direct):
Pt 0.5000 0.5000 0.5000  12 Bi 3.74
Bi 0.0000 0.5000 0.0000  2 Ti 2.64
Bi 0.0000 0.0000 0.5000  2 Ti 2.64
Ti 0.0000 0.0000 0.0000  6 Bi 2.64
Bi 0.5000 0.0000 0.0000  2 Ti 2.64

*two*
Below is an optimized crystal structure of TiBi3Pt, with properties calculated at the PBE-GGA level.

Output
For the magnetic moment, the calculation gives 0.018 μB per atom.

Unit cell a=5.3838 b=5.3838 c=5.3838 alpha=90.00 beta=90.00 gamma=90.00
Last column: nearest neighbours and their distance in Å.
Positions (direct):
Bi 0.0000 0.5000 0.0000  2 Pt 2.69
Bi 0.5000 0.0000 0.0000  2 Pt 2.69
Pt 0.0000 0.0000 0.0000  6 Bi 2.69
Ti 0.5000 0.5000 0.5000  12 Bi 3.81
Bi 0.0000 0.0000 0.5000  2 Pt 2.69

Which one sits at the bottom of the stability order? *two* does.

*one*
Below is an optimized crystal structure of Ti2BiPt2, with properties calculated at the PBE-GGA level.

Output
For the magnetic moment, the calculation gives 0.000 μB per atom.

Unit cell a=4.3500 b=4.3500 c=6.1864 alpha=69.42 beta=69.42 gamma=90.00
Last column: nearest neighbours and their distance in Å.
Positions (direct):
Ti 0.7500 0.2500 0.5000  4 Pt 2.55
Ti 0.2500 0.7500 0.5000  4 Pt 2.55
Bi 0.0000 0.0000 0.0000  8 Pt 3.36, 8 Ti 3.45
Pt 0.3747 0.3747 0.2506  4 Ti 2.55, 1 Pt 2.69
Pt 0.6253 0.6253 0.7494  4 Ti 2.55, 1 Pt 2.69

*two*
Below is an optimized crystal structure of Ti2BiPt2, with properties calculated at the PBE-GGA level.

Output
For the magnetic moment, the calculation gives 0.000 μB per atom.

Unit cell a=7.8064 b=7.8064 c=3.0199 alpha=90.00 beta=90.00 gamma=90.00
Last column: nearest neighbours and their distance in Å.
Positions (direct):
Bi 0.5000 0.5000 0.0000  2 Bi 3.02, 4 Pt 3.06, 8 Ti 3.30
Pt 0.3691 0.8691 0.0000  6 Ti 2.72-2.77, 3 Pt 2.89-3.02
Ti 0.3417 0.1583 0.5000  6 Pt 2.72-2.77, 2 Ti 3.02
Ti 0.1583 0.6583 0.5000  6 Pt 2.72-2.77, 2 Ti 3.02
Ti 0.8417 0.3417 0.5000  6 Pt 2.72-2.77, 2 Ti 3.02
Bi 0.0000 0.0000 0.0000  2 Bi 3.02, 4 Pt 3.06, 8 Ti 3.30
Pt 0.1309 0.3691 0.0000  6 Ti 2.72-2.77, 3 Pt 2.89-3.02
Pt 0.6309 0.1309 0.0000  6 Ti 2.72-2.77, 3 Pt 2.89-3.02
Ti 0.6583 0.8417 0.5000  6 Pt 2.72-2.77, 2 Ti 3.02
Pt 0.8691 0.6309 0.0000  6 Ti 2.72-2.77, 3 Pt 2.89-3.02

Which one sits at the bottom of the stability order? *one* does.